(1)
Compound: BaGa3Tc
Source: the Alexandria database
Functional: PBE-GGA
Structure: optimized geometry

Computed properties:
The calculation puts the total magnetic moment at 0.000 μB per atom. The formation energy comes out at 0.038 eV per atom. For the mass density, the calculation gives 6.02 g/cm3. The value obtained for the total energy is -42.4 eV/cell.

Lattice parameters (Å, degrees): 9.5753 9.5753 5.3409 90.00 90.00 149.94
Sites, in units of the cell vectors:
Ga 0.1383 0.3763 0.2500
Ga 0.0000 0.0000 0.5000
Ga 0.0000 0.0000 0.0000
Ga 0.6237 0.8617 0.2500
Ga 0.3763 0.1383 0.7500
Ga 0.8617 0.6237 0.7500
Ba 0.1921 0.8079 0.2500
Ba 0.8079 0.1921 0.7500
Tc 0.5029 0.4971 0.2500
Tc 0.4971 0.5029 0.7500

---

(2)
Compound: BaGa3Tc
Source: the Alexandria database
Functional: PBE-GGA
Structure: optimized geometry

Computed properties:
The calculation puts the total magnetic moment at 0.000 μB per atom. The formation energy comes out at 0.206 eV per atom. For the mass density, the calculation gives 5.23 g/cm3. The value obtained for the total energy is -40.7 eV/cell.

Lattice parameters (Å, degrees): 4.8085 4.8085 12.6745 79.07 79.07 90.00
Sites, in units of the cell vectors:
Ga 0.1312 0.3732 0.7375
Ga 0.3382 0.3382 0.3235
Ga 0.1107 0.8688 0.2625
Ga 0.6268 0.8688 0.2625
Ga 0.6617 0.6617 0.6765
Ga 0.1312 0.8893 0.7375
Ba 0.2500 0.7500 0.5000
Ba 0.0000 0.0000 0.0000
Tc 0.7973 0.2973 0.4053
Tc 0.7027 0.2027 0.5947

---

(3)
Compound: BaGaTc3
Source: the Alexandria database
Functional: PBE-GGA
Structure: optimized geometry

Computed properties:
The calculation puts the total magnetic moment at 1.522 μB per atom. The formation energy comes out at 2.845 eV per atom. For the mass density, the calculation gives 6.13 g/cm3. The value obtained for the total energy is -21.8 eV/cell.

Lattice parameters (Å, degrees): 5.1400 5.1400 5.1400 90.00 90.00 90.00
Each line ends with the local moment (μB).
Sites, in units of the cell vectors:
Tc 0.5000 0.0000 0.0000  2.49
Tc 0.0000 0.5000 0.0000  2.31
Tc 0.0000 0.0000 0.5000  2.14
Ga 0.5000 0.5000 0.5000  0.01
Ba 0.0000 0.0000 0.0000  -0.02

---

| no. | energy above the lowest structure with this stoichiometry (eV/atom) |
| --- | --- |
| 1 | 0.4666 |
| 2 | 0.6342 |
| 3 | 1.5644 |